Computed, not measured: crystalline SmZnPt at its relaxed geometry at the PBE-GGA level of DFT.

The calculation puts the energy at -4.264 eV per atom. As for the space group: F-43m. The calculation puts the density at 9.0 Mg/m³. The magnetic moment is 0.00 μB/f.u.

Cell: 4.752 4.752 4.752 Å, 60.00 60.00 60.00°
Sites, in units of the cell vectors:
1 Sm 0.000 0.000 0.000
2 Zn 0.250 0.250 0.250
3 Pt 0.750 0.750 0.750

***

Computed, not measured: crystalline Sm2ZrPt at its relaxed geometry at the PBE-GGA level of DFT.

The calculation puts the energy at -5.795 eV per atom. As for the space group: P3m1. The calculation puts the density at 8.1 Mg/m³. The magnetic moment is 0.03 μB/f.u.

Cell: 4.714 4.714 6.287 Å, 90.00 90.00 120.00°
Sites, in units of the cell vectors:
1 Sm 0.000 0.000 0.000
2 Sm 0.333 0.667 0.381
3 Zr 0.000 0.000 0.506
4 Pt 0.667 0.333 0.273

***

Computed, not measured: crystalline SnPt at its relaxed geometry at the PBE-GGA level of DFT.

The calculation puts the energy at -5.614 eV per atom. As for the space group: P6_3/mmc. The calculation puts the density at 12.5 Mg/m³. The magnetic moment is 0.00 μB/f.u.

Cell: 4.177 4.177 5.509 Å, 90.00 90.00 120.00°
Sites, in units of the cell vectors:
1 Sn 0.333 0.667 0.250
2 Sn 0.667 0.333 0.750
3 Pt 0.000 0.000 0.000
4 Pt 0.000 0.000 0.500

***

Computed, not measured: crystalline SnPt at its relaxed geometry at the PBE-GGA level of DFT.

The calculation puts the energy at -5.320 eV per atom. As for the space group: P6_3/mmc. The calculation puts the density at 12.4 Mg/m³. The magnetic moment is 0.00 μB/f.u.

Cell: 3.824 3.824 6.637 Å, 90.00 90.00 120.00°
Sites, in units of the cell vectors:
1 Sn 0.000 0.000 0.000
2 Sn 0.000 0.000 0.500
3 Pt 0.333 0.667 0.250
4 Pt 0.667 0.333 0.750